No. 1
Pm2Al2Cu3 PBE relaxed; space-group type = I2_13, No. 199
1.0
7.2400 0.0000 0.0000
-2.4133 6.8260 0.0000
-2.4133 -3.4130 5.9115
Cu Pm Al
6 4 4
Cartesian
1.0163 -0.7187 1.7110
1.3970 -0.5841 4.4336
3.8103 4.9849 0.2331
5.8430 0.5841 1.4779
3.4297 0.1346 2.7226
3.8103 2.4251 1.2448
-1.2729 -1.8002 3.1181
1.1404 1.8940 2.9557
-1.2729 3.3192 5.7491
-1.0078 3.4130 0.0000
-2.2650 -3.2031 5.5480
0.1484 4.6998 2.9557
-2.2650 1.9163 3.3192
1.9682 3.4130 0.0000

No. 2
Pm3Al7Cu2 PBE relaxed; space-group type = R-3m, No. 166
1.0
5.5812 0.0000 0.0000
2.7906 4.8335 0.0000
2.7906 1.6112 8.5824
Al Pm Cu
7 3 2
Cartesian
7.0021 4.0427 6.5792
4.1603 4.0427 6.5792
4.1603 2.4020 2.0032
5.5812 1.5816 6.5792
7.0021 2.4020 2.0032
5.5812 4.8630 2.0032
5.5812 3.2223 4.2912
0.0000 0.0000 0.0000
2.7906 1.6112 4.9348
8.3719 4.8335 3.6476
5.5812 3.2223 8.5292
5.5812 3.2223 0.0532

No. 3
Pm2AlCu2 PBE relaxed; space-group type = C2/c, No. 15
1.0
5.6581 0.1424 0.1597
2.6840 4.9830 0.1597
1.4327 0.8802 7.7467
Pm Cu Al
4 4 2
Cartesian
6.2162 4.7571 6.7722
3.4382 3.0503 5.1673
3.5585 1.2486 1.2939
6.3365 2.9554 2.8989
4.8589 0.5465 3.9832
6.3752 1.4781 0.2097
3.3995 4.5277 7.8565
4.9158 5.4593 4.0830
3.4760 4.4970 2.0964
6.2987 1.5087 5.9697

No. 4
PmAl9Cu2 PBE relaxed; space-group type = I4_1/amd, No. 141
1.0
-4.6250 0.1439 5.4006
-1.5056 -7.4073 3.5906
3.3852 1.2636 7.5479
Al Cu Pm
18 4 2
Cartesian
-1.4600 -0.4753 8.6738
2.0607 -3.8408 9.4373
2.3163 -1.2250 8.4938
-2.7101 -5.2668 11.3210
-1.8250 -5.5077 8.4954
-1.8296 -0.0803 6.0055
-0.6088 -6.4109 6.1270
0.8571 -5.9747 8.4634
0.5043 -0.7497 4.5881
-3.0332 -2.2142 5.0316
-2.5290 -2.9639 9.6197
-0.6994 -2.8837 3.6142
-2.2096 -4.8636 4.7149
0.7155 0.3224 7.0817
0.0000 0.0000 0.0000
0.1407 -2.0227 10.0859
-3.4257 -3.9603 7.0833
-1.5064 -3.1329 12.2949
-1.8844 -0.7782 11.2841
-3.5770 -1.4100 7.5102
-0.3247 -4.5538 10.3791
-4.3298 -5.1137 9.3055
-0.2165 -3.0359 6.9194
-2.3125 0.0719 2.7003

No. 5
Pm6Al3Cu PBE relaxed; space-group type = P2_1/m, No. 11
1.0
-1.2781 -0.2944 -5.0178
8.2841 -3.6173 -1.8978
-7.4902 -8.6242 2.4139
Pm Al Cu
12 6 2
Cartesian
-5.9167 -7.9297 0.6322
-4.8056 -6.6497 -2.4062
-0.6847 -4.3064 -3.5934
0.2005 -8.2295 -0.9083
2.8794 -2.5118 -1.9262
5.4325 -4.6062 -5.1339
-2.0278 -5.2841 -0.5136
1.5436 -7.2519 -3.9881
-0.3354 -1.8160 -1.1482
-0.1488 -10.7199 -3.3535
-3.3636 -10.0241 -2.5755
4.3214 -5.8862 -2.0955
0.7502 -1.3298 -4.1335
-1.7638 -7.3187 -3.1417
-1.2344 -11.2061 -0.3682
2.4255 -4.3352 -4.3839
1.2796 -5.2172 -1.3600
-2.9097 -8.2007 -0.1178
-3.6518 -3.8531 -2.8642
3.1676 -8.6829 -1.6375

No. 6
Pm8Al2Cu PBE relaxed; space-group type = Immm, No. 71
1.0
5.1219 0.0000 -1.5588
-1.0500 6.0744 -3.4500
0.0427 1.2012 9.3344
Pm Al Cu
8 2 1
Cartesian
4.3843 5.7155 5.2115
2.3426 5.5984 -1.4971
3.2937 5.6018 1.6281
0.8210 1.6737 2.6975
2.8375 2.7353 0.1293
1.2771 4.5403 4.1963
-0.2696 1.5601 -0.8860
1.7721 1.6772 5.8226
3.8717 2.6726 3.5273
0.2430 4.6030 0.7983
2.5610 0.0000 -0.7794

No. 7
PmAl2Cu PBE relaxed; space-group type = P4/mmm, No. 123
1.0
-2.3252 0.3405 3.7290
-0.0534 -4.2182 0.3519
3.5959 0.1404 2.2294
Al Pm Cu
2 1 1
Cartesian
-0.0267 -2.1091 0.1759
1.7979 0.0702 1.1147
0.6086 -1.8686 3.1551
-1.1626 0.1703 1.8645

No. 8
Pm3Al3Cu PBE relaxed; space-group type = C2/m, No. 12
1.0
-3.2882 -0.7612 -3.0663
1.7077 -3.6116 -4.3255
-5.9688 -11.2035 5.7911
Al Pm Cu
6 6 2
Cartesian
-3.0403 -6.5636 -5.2826
-4.4077 -13.5170 1.3007
-2.7614 -6.2237 1.1154
-3.1415 -2.0592 -2.9014
-4.5090 -9.0126 3.6818
-4.7879 -9.3525 -2.7161
-1.2125 -3.9771 -4.4940
-4.9212 -8.4540 0.5945
-5.8550 -11.7904 -0.9667
-1.6943 -3.7858 -0.6340
-2.6281 -7.1222 -2.1952
-6.3368 -11.5991 2.8933
-2.8671 -10.1272 -1.1930
-4.6822 -5.4490 -0.4078

No. 9
Pm2AlCu4 PBE relaxed; space-group type = I4/mmm, No. 139
1.0
4.5169 0.0000 0.0000
0.0000 4.5169 0.0000
-2.2584 -2.2584 7.4273
Cu Pm Al
4 2 1
Cartesian
2.2584 0.0000 0.0000
0.0000 2.2584 0.0000
0.0000 0.0000 2.4025
2.2584 2.2584 5.0248
2.2585 2.2584 2.0895
0.0000 0.0000 5.3378
0.0000 0.0000 0.0000

No. 10
Pm2Al5Cu3 PBE relaxed; space-group type = P-4m2, No. 115
1.0
-3.3061 2.0001 1.8285
-2.7006 -2.1927 -2.4845
-0.5402 -7.4017 7.1194
Pm Al Cu
2 5 3
Cartesian
-1.7483 -6.5495 4.0029
-1.7953 -0.9485 2.7885
-1.4358 -2.2670 -0.1162
-3.0034 -0.0963 -0.3280
-2.1078 -5.2310 6.9076
-3.2735 -3.7972 3.2317
0.0000 0.0000 0.0000
-1.5592 -3.9589 1.5111
-0.2701 -3.7009 3.5597
-1.9843 -3.5391 5.2803

No. 11
Pm2AlCu PBE relaxed; space-group type = P4/mmm, No. 123
1.0
-3.4230 -0.7743 -0.6087
-0.1027 -1.9088 3.0055
-2.0831 6.1799 3.8535
Al Pm Cu
1 2 1
Cartesian
-2.8045 1.7484 3.1252
-0.4968 1.4738 0.9190
-1.5863 4.7061 2.9345
-1.7629 -1.3415 1.1984

No. 12
PmAl2Cu PBE relaxed; space-group type = R-3m, No. 166
1.0
4.1806 0.0000 0.0000
2.0903 3.6205 0.0000
2.0903 1.2068 5.4225
Pm Al Cu
1 2 1
Cartesian
0.0000 0.0000 0.0000
2.0903 1.2068 2.0373
6.2709 3.6205 3.3852
4.1806 2.4137 2.7113

no.,E_form (meV/atom)
1,-130
2,-488
3,-305
4,-179
5,-222
6,-96
7,-204
8,-353
9,108
10,-343
11,-260
12,-376